The following is a GGA-PBE calculation of a relaxed structure of Ti4AlGa3, from Alexandria via LeMat-Bulk.

The space group is Pmna (No. 53) and the conventional cell measures 7.931, 5.705 and 5.698 Å, with angles of 90.00, 90.00 and 90.00 degrees. The inequivalent atoms are Ti at (0.000, 0.000, 0.000), Ti at (0.000, 0.500, 0.000), Ti at (0.250, 0.244, 0.250), Al at (0.000, 0.500, 0.500), Ga at (0.000, 0.000, 0.500) and Ga at (0.250, 0.256, 0.750).

The energy of formation from the pure elements is -334 meV/atom. Its total magnetization is 0.00 μB per atom. For the density, the calculation gives 5.51 g/cm³. The value obtained for the energy is -5.88 eV per atom.